Entry 1:
ZnB2Ir2 | PBE | optimized geometry

Properties
symmetry = P4/mbm, No. 127
crystal system = tetragonal
density = 14.205 g/cm³
formation energy = -16.3 meV/atom

Cell lengths 6.3803, 6.3803, 2.7077 Å; angles 90.00, 90.00, 90.00 degrees
Fractional coordinates of all 10 atoms:
Zn 0.0000 0.0000 0.0000
Zn 0.5000 0.5000 0.0000
Ir 0.1548 0.6548 0.5000
Ir 0.6548 0.8452 0.5000
Ir 0.8452 0.3452 0.5000
Ir 0.3452 0.1548 0.5000
B 0.3616 0.8616 0.0000
B 0.8616 0.6384 0.0000
B 0.6384 0.1384 0.0000
B 0.1384 0.3616 0.0000

Entry 2:
ZnBIr | PBE | optimized geometry

Properties
symmetry = P2_1/m, No. 11
crystal system = monoclinic
density = 12.189 g/cm³
formation energy = -44.2 meV/atom

Cell lengths 2.7379, 6.0465, 4.4179 Å; angles 90.00, 90.00, 90.03 degrees
Fractional coordinates of all 6 atoms:
Zn 0.0012 0.8825 0.7500
Zn 0.9988 0.1175 0.2500
B 0.0000 0.5000 0.0000
B 0.0000 0.5000 0.5000
Ir 0.4998 0.2912 0.7500
Ir 0.5002 0.7088 0.2500

Entry 3:
Zn6B5Ir11 | PBE | optimized geometry

Properties
symmetry = Pmm2, No. 25
crystal system = orthorhombic
density = 15.131 g/cm³
formation energy = -259.4 meV/atom

Cell lengths 2.8984, 8.5022, 11.4051 Å; angles 90.00, 90.00, 90.00 degrees
Fractional coordinates of all 22 atoms:
Zn 0.5000 0.3424 0.5000
Zn 0.5000 0.6424 0.5000
Zn 0.5000 0.0000 0.5000
Zn 0.5000 0.5196 0.0000
Zn 0.5000 0.9867 0.1993
Zn 0.5000 0.9867 0.8007
B 0.5000 0.3170 0.2655
B 0.5000 0.6858 0.2550
B 0.5000 0.6858 0.7450
B 0.5000 0.3170 0.7345
B 0.5000 0.1791 0.0000
Ir 0.0000 0.4993 0.3182
Ir 0.0000 0.4993 0.6818
Ir 0.0000 0.1676 0.3484
Ir 0.0000 0.8224 0.3579
Ir 0.0000 0.8224 0.6421
Ir 0.0000 0.1676 0.6516
Ir 0.0000 0.2985 0.1197
Ir 0.0000 0.7264 0.1206
Ir 0.0000 0.7264 0.8794
Ir 0.0000 0.2985 0.8803
Ir 0.0000 0.0011 0.0000

> Which value of density does entry 1 give?

14.205 g/cm³

> What is the formation energy in the second record?

-44.2 meV/atom

> Look up the formation energy of the first one.

-16.3 meV/atom

> Which value of density does entry 2 give?

12.189 g/cm³